Material: CaZn2Cu4
Method: DFT, GGA-PBE
State: optimized geometry

- M_tot: 0.0 μB/f.u.
- N(E_F): 2.9 states/eV/cell
- Space-group type: I4/mmm
- Relative energy among the computed polymorphs: 387 meV per atom
- ΔH_f (0 K): 170.3 kJ/mol of formula units
- Crystal system: tetragonal

```
CaZn2Cu4
1.0
5.773 -0.559 0.000
-2.842 5.056 0.000
-1.465 -2.248 5.142
Ca Zn Cu
1 2 4
direct
0.000 0.000 0.000 Ca
0.250 0.750 0.500 Zn
0.750 0.250 0.500 Zn
0.726 0.500 0.226 Cu
0.500 0.726 0.226 Cu
0.500 0.274 0.774 Cu
0.274 0.500 0.774 Cu
```